A relaxed Ni3Sn5Bi crystal. Source: Alexandria via LeMat-Bulk, functional PBE-GGA.

a = 11.468 Å, b = 8.640 Å, c = 9.498 Å
α = 90.00°, β = 117.52°, γ = 90.00°
Space group C2/m (No. 12)
Unique sites:
Ni: 0.000 0.000 0.000
Ni: 0.000 0.000 0.500
Ni: 0.143 0.500 0.148
Ni: 0.170 0.500 0.659
Sn: 0.000 0.290 0.500
Sn: 0.076 0.500 0.851
Sn: 0.164 0.209 0.171
Sn: 0.241 0.000 0.541
Bi: 0.109 0.000 0.812

Output
Formation energy in eV/atom: -0.071

A relaxed La2SmYS4 crystal. Source: Alexandria via LeMat-Bulk, functional PBE-GGA.

a = 7.022 Å, b = 4.024 Å, c = 7.085 Å
α = 90.00°, β = 109.10°, γ = 90.00°
Space group P2/m (No. 10)
Unique sites:
La: 0.000 0.000 0.000
La: 0.500 0.500 0.000
Sm: 0.000 0.500 0.500
Y: 0.500 0.000 0.500
S: 0.249 0.000 0.736
S: 0.260 0.500 0.267

Output
Uncorrected formation energy in meV per atom: -2092

A relaxed Y3SbH crystal. Source: Alexandria via LeMat-Bulk, functional PBE-GGA.

a = 6.511 Å, b = 3.937 Å, c = 9.531 Å
α = 90.00°, β = 100.51°, γ = 90.00°
Space group P2_1/m (No. 11)
Unique sites:
Y: 0.092 0.250 0.350
Y: 0.267 0.750 0.085
Y: 0.406 0.750 0.625
Sb: 0.218 0.250 0.836
H: 0.327 0.750 0.349

Output
Energy in eV per atom: -5.95